# LiTh2Hg, relaxed, DFT PBE
data_LiTh2Hg
_cell_length_a 4.782
_cell_length_b 4.782
_cell_length_c 4.629
_cell_angle_alpha 90.00
_cell_angle_beta 90.00
_cell_angle_gamma 90.00
_symmetry_space_group_name_H-M 'P 4/m m m'
_symmetry_Int_Tables_number 123
_symmetry_space_group_name_Hall '-P 4 2'
loop_
_atom_site_label
_atom_site_type_symbol
_atom_site_fract_x
_atom_site_fract_y
_atom_site_fract_z
Li1 Li 0.000 0.000 0.000
Th1 Th 0.000 0.500 0.500
Hg1 Hg 0.500 0.500 0.000
# ΔE_f	-25	meV/atom
# DOS(E_F)	4.723	states/eV per cell
# volume	26.47	A^3/atom
# calculated total energy	-0.158	hartree per atom

# CdBiBr2, relaxed, DFT PBE
data_CdBiBr2
_cell_length_a 10.376
_cell_length_b 10.376
_cell_length_c 6.097
_cell_angle_alpha 90.00
_cell_angle_beta 90.00
_cell_angle_gamma 90.00
_symmetry_space_group_name_H-M 'I -4 2 d'
_symmetry_Int_Tables_number 122
_symmetry_space_group_name_Hall 'I -4 2bw'
loop_
_atom_site_label
_atom_site_type_symbol
_atom_site_fract_x
_atom_site_fract_y
_atom_site_fract_z
Cd1 Cd 0.000 0.000 0.000
Bi1 Bi 0.000 0.000 0.500
Br1 Br 0.119 0.250 0.625
# DOS(E_F)	6.978	states/eV per cell
# formation energy without anion corrections	-0.26	eV per atom
# volume	41.03	A^3/atom
# calculated total energy	-0.084	hartree per atom

# HoTm3Ag, relaxed, DFT PBE
data_HoTm3Ag
_cell_length_a 10.956
_cell_length_b 7.324
_cell_length_c 7.633
_cell_angle_alpha 90.00
_cell_angle_beta 111.09
_cell_angle_gamma 90.00
_symmetry_space_group_name_H-M 'C 1 2/m 1'
_symmetry_Int_Tables_number 12
loop_
_symmetry_equiv_pos_as_xyz
'x,y,z'
'-x,-y,-z'
'-x,y,-z'
'x,-y,z'
'x+1/2,y+1/2,z'
'-x+1/2,-y+1/2,-z'
'-x+1/2,y+1/2,-z'
'x+1/2,-y+1/2,z'
loop_
_atom_site_label
_atom_site_type_symbol
_atom_site_fract_x
_atom_site_fract_y
_atom_site_fract_z
Ho1 Ho 0.060 0.000 0.239
Tm1 Tm 0.060 0.500 0.241
Tm2 Tm 0.162 0.250 0.648
Ag1 Ag 0.247 0.500 0.000
# ΔE_f	-12	meV/atom
# DOS(E_F)	20.755	states/eV per cell
# volume	28.57	A^3/atom
# calculated total energy	-0.154	hartree per atom

# YHfSc2, relaxed, DFT PBE
data_YHfSc2
_cell_length_a 15.272
_cell_length_b 3.295
_cell_length_c 8.272
_cell_angle_alpha 90.00
_cell_angle_beta 95.34
_cell_angle_gamma 90.00
_symmetry_space_group_name_H-M 'C 1 2/m 1'
_symmetry_Int_Tables_number 12
loop_
_symmetry_equiv_pos_as_xyz
'x,y,z'
'-x,-y,-z'
'-x,y,-z'
'x,-y,z'
'x+1/2,y+1/2,z'
'-x+1/2,-y+1/2,-z'
'-x+1/2,y+1/2,-z'
'x+1/2,-y+1/2,z'
loop_
_atom_site_label
_atom_site_type_symbol
_atom_site_fract_x
_atom_site_fract_y
_atom_site_fract_z
Y1 Y 0.146 0.000 0.438
Hf1 Hf 0.091 0.000 0.060
Sc1 Sc 0.041 0.500 0.739
Sc2 Sc 0.236 0.000 0.831
# ΔE_f	50	meV/atom
# DOS(E_F)	23.351	states/eV per cell
# volume	25.90	A^3/atom
# calculated total energy	-0.265	hartree per atom

# DySiO, relaxed, DFT PBE
data_DySiO
_cell_length_a 3.7974
_cell_length_b 3.7974
_cell_length_c 25.0363
_cell_angle_alpha 90.00
_cell_angle_beta 90.00
_cell_angle_gamma 120.00
_symmetry_space_group_name_H-M 'R -3 m'
_symmetry_Int_Tables_number 166
_symmetry_space_group_name_Hall '-R 3 2"'
loop_
_atom_site_label
_atom_site_type_symbol
_atom_site_fract_x
_atom_site_fract_y
_atom_site_fract_z
Dy1 Dy 0.0000 0.0000 0.2242
Si1 Si 0.0000 0.0000 0.3530
O1 O 0.0000 0.0000 0.1313
# formation energy without anion corrections	-2.19	eV per atom
# volume	17.37	A^3/atom
# calculated total energy	-0.264	hartree per atom

# Ac2La8Tb3, relaxed, DFT PBE
data_Ac2La8Tb3
_cell_length_a 18.225
_cell_length_b 8.170
_cell_length_c 6.518
_cell_angle_alpha 90.00
_cell_angle_beta 93.30
_cell_angle_gamma 90.00
_symmetry_space_group_name_H-M 'C 1 2/m 1'
_symmetry_Int_Tables_number 12
loop_
_symmetry_equiv_pos_as_xyz
'x,y,z'
'-x,-y,-z'
'-x,y,-z'
'x,-y,z'
'x+1/2,y+1/2,z'
'-x+1/2,-y+1/2,-z'
'-x+1/2,y+1/2,-z'
'x+1/2,-y+1/2,z'
loop_
_atom_site_label
_atom_site_type_symbol
_atom_site_fract_x
_atom_site_fract_y
_atom_site_fract_z
Ac1 Ac 0.164 0.000 0.171
La1 La 0.034 0.000 0.710
La2 La 0.166 0.277 0.647
La3 La 0.174 0.500 0.162
Tb1 Tb 0.000 0.312 0.000
Tb2 Tb 0.000 0.500 0.500
# ΔE_f	141	meV/atom
# DOS(E_F)	40.954	states/eV per cell
# volume	37.26	A^3/atom
# calculated total energy	-0.169	hartree per atom

# SiGePt2, relaxed, DFT PBE
data_SiGePt2
_cell_length_a 5.622
_cell_length_b 14.468
_cell_length_c 6.519
_cell_angle_alpha 90.00
_cell_angle_beta 90.00
_cell_angle_gamma 90.00
_symmetry_space_group_name_H-M 'P b c a'
_symmetry_Int_Tables_number 61
loop_
_symmetry_equiv_pos_as_xyz
'x,y,z'
'-x,-y,-z'
'-x+1/2,-y,z+1/2'
'x+1/2,y,-z+1/2'
'x+1/2,-y+1/2,-z'
'-x+1/2,y+1/2,z'
'-x,y+1/2,-z+1/2'
'x,-y+1/2,z+1/2'
loop_
_atom_site_label
_atom_site_type_symbol
_atom_site_fract_x
_atom_site_fract_y
_atom_site_fract_z
Si1 Si 0.185 0.060 0.058
Ge1 Ge 0.176 0.687 0.563
Pt1 Pt 0.010 0.053 0.708
Pt2 Pt 0.015 0.660 0.189
# DOS(E_F)	11.509	states/eV per cell
# formation energy without anion corrections	-0.58	eV per atom
# volume	16.57	A^3/atom
# calculated total energy	-0.224	hartree per atom

# PmGa3IrAu, relaxed, DFT PBE
data_PmGa3IrAu
_cell_length_a 6.593
_cell_length_b 13.484
_cell_length_c 6.020
_cell_angle_alpha 90.00
_cell_angle_beta 90.00
_cell_angle_gamma 90.00
_symmetry_space_group_name_H-M 'C m c m'
_symmetry_Int_Tables_number 63
_symmetry_space_group_name_Hall '-C 2c 2'
loop_
_atom_site_label
_atom_site_type_symbol
_atom_site_fract_x
_atom_site_fract_y
_atom_site_fract_z
Pm1 Pm 0.000 0.200 0.250
Ga1 Ga 0.000 0.192 0.750
Ga2 Ga 0.200 0.500 0.000
Ir1 Ir 0.000 0.015 0.750
Au1 Au 0.000 0.370 0.750
# ΔE_f	-335	meV/atom
# DOS(E_F)	11.645	states/eV per cell
# volume	22.30	A^3/atom
# calculated total energy	-0.171	hartree per atom